(1)
Below is SnTeAuI2 after structural relaxation, with properties calculated at the PBEsol level.

Lattice parameters (Å, degrees): 5.4447 5.4447 5.5023 90.00 90.00 90.00
Element x y z (fractional)
Au  0.0000  0.0000  0.0000
Te  0.0000  0.0000  0.5000
I  0.5000  0.0000  0.0000
I  0.0000  0.5000  0.0000
Sn  0.5000  0.5000  0.5000

* crystal system: tetragonal
* offset from the most stable computed form: 0 meV/atom
* ΔE_f (raw): 0.1885 eV per atom

---

(2)
Below is LiCaLa2O after structural relaxation, with properties calculated at the PBEsol level.

Lattice parameters (Å, degrees): 5.1222 5.1222 5.3224 90.00 90.00 90.00
Element x y z (fractional)
Ca  0.0000  0.0000  0.5000
La  0.5000  0.0000  0.0000
La  0.0000  0.5000  0.0000
O  0.5000  0.5000  0.5000
Li  0.0000  0.0000  0.0000

* crystal system: tetragonal
* ΔE_f (raw): 0.5584 eV per atom